Material: PaMnTlO6
Method: DFT, PBE with a Hubbard U
State: relaxed

The calculation puts the electronic total energy at -7.384 eV per atom. Its space-group type is P312 (149). The total magnetization is 3.01 Bohr magnetons per cell.

a b c (Å): 5.3478 5.3478 4.7836
angles (deg): 90.00 90.00 120.00
Closest atoms and distances in Å follow each position.
Positions (direct):
Pa 0.0000 0.0000 0.0000  6 O 2.20
Mn 0.6667 0.3333 0.5000  6 O 1.96
Tl 0.3333 0.6667 0.5000  6 O 2.26
O 0.3578 0.0438 0.7362  1 Mn 1.96
O 0.3578 0.3140 0.2638  1 Mn 1.96
O 0.6860 0.0438 0.2638  1 Mn 1.96
O 0.6860 0.6422 0.7362  1 Mn 1.96
O 0.9562 0.3140 0.7362  1 Mn 1.96
O 0.9562 0.6422 0.2638  1 Mn 1.96